(1)
The following is a DFT calculation (PBE) of crystalline Pr4CoGeBr2 at its relaxed geometry.

The structure belongs to space group P2/m (No. 10); the cell edges are 7.532, 4.123 and 7.909 Å and the angles 90.00°, 106.72° and 90.00°. The distinct sites, in fractional coordinates, are Pr at (0.215, 0.000, 0.196), Pr at (0.247, 0.500, 0.796), Co at (0.000, 0.500, 0.000), Ge at (0.500, 0.000, 0.000), Br at (0.000, 0.000, 0.500) and Br at (0.500, 0.500, 0.500).

The value obtained for the formation energy from raw total energies is -85.4 kJ per mole of atoms. Its crystal system is monoclinic.

=====

(2)
The following is a DFT calculation (PBE) of crystalline Rb2CoGeBr6 at its relaxed geometry.

The structure belongs to space group I4/mmm (No. 139); the cell edges are 7.597, 7.597 and 10.736 Å and the angles 90.00°, 90.00° and 90.00°. The distinct sites, in fractional coordinates, are Rb at (0.000, 0.500, 0.250), Co at (0.000, 0.000, 0.000), Ge at (0.000, 0.000, 0.500), Br at (0.000, 0.000, 0.241) and Br at (0.242, 0.242, 0.000).

The value obtained for the formation energy from raw total energies is -88.8 kJ per mole of atoms. Its crystal system is tetragonal.

=====

Which of these has the highest formation energy from raw total energies? Pr4CoGeBr2

=====

What is the formation energy from raw total energies in the second record? -88.8 kJ per mole of atoms